TbY7Cd4 after structural relaxation. Source: Alexandria, functional GGA-PBE.

Properties
The calculation puts the density of states at the Fermi level at 1.218 states/eV/atom. As for the space group: C2/m (12). For the final energy, the calculation gives -53.7 eV per formula unit. The formation energy comes out at -14 meV per atom.

Cell lengths 7.8991, 7.8991, 9.8417 Å; angles 119.81, 119.81, 42.33 degrees
Last column: nearest neighbours and their distance in Å.
Positions (direct):
Tb  0.0000  0.0000  0.0000  2 Y 2.85
Y  0.0707  0.0707  0.4118  3 Cd 3.13-3.21, 2 Y 3.35-3.48
Y  0.2077  0.2077  0.8815  4 Cd 3.36-3.69, 5 Y 3.47-3.56
Y  0.2633  0.2633  0.3094  4 Cd 2.99-3.18
Y  0.5000  0.5000  0.0000  2 Tb 2.85, 4 Cd 2.97-3.17
Y  0.7367  0.7367  0.6906  4 Cd 2.99-3.18
Y  0.7923  0.7923  0.1185  4 Cd 3.36-3.69, 5 Y 3.47-3.56
Y  0.9293  0.9293  0.5882  3 Cd 3.13-3.21, 2 Y 3.35-3.48
Cd  0.3189  0.3189  0.6593  5 Y 2.97-3.18, 1 Cd 3.05
Cd  0.4564  0.4564  0.2828  4 Y 2.99-3.21, 1 Cd 3.05
Cd  0.5436  0.5436  0.7172  4 Y 2.99-3.21, 1 Cd 3.05
Cd  0.6811  0.6811  0.3407  5 Y 2.97-3.18, 1 Cd 3.05

---

Tb4YCd after structural relaxation. Source: Alexandria, functional GGA-PBE.

Properties
The calculation puts the density of states at the Fermi level at 1.342 states/eV/atom. As for the space group: P4/mmm (123). For the final energy, the calculation gives -26.4 eV per formula unit. The formation energy comes out at -92 meV per atom.

Cell lengths 3.5770, 3.5770, 14.1915 Å; angles 90.00, 90.00, 90.00 degrees
Last column: nearest neighbours and their distance in Å.
Positions (direct):
Tb  0.0000  0.0000  0.1466  4 Cd 3.27, 8 Tb 3.55-3.58
Tb  0.0000  0.0000  0.8534  4 Cd 3.27, 8 Tb 3.55-3.58
Tb  0.5000  0.5000  0.3219  8 Tb 3.55-3.58, 4 Y 3.58
Tb  0.5000  0.5000  0.6781  8 Tb 3.55-3.58, 4 Y 3.58
Y  0.0000  0.0000  0.5000  8 Tb 3.58, 4 Y 3.58
Cd  0.5000  0.5000  0.0000  8 Tb 3.27, 4 Cd 3.58

---

TbY2Cd after structural relaxation. Source: Alexandria, functional GGA-PBE.

Properties
The calculation puts the density of states at the Fermi level at 1.507 states/eV/atom. As for the space group: R3m (160). For the final energy, the calculation gives -18.8 eV per formula unit. The formation energy comes out at -75 meV per atom.

Cell lengths 10.9254, 10.9254, 10.9254 Å; angles 19.11, 19.11, 19.11 degrees
Last column: nearest neighbours and their distance in Å.
Positions (direct):
Tb  0.0000  0.0000  0.0000  6 Y 3.56, 6 Tb 3.63
Y  0.5772  0.5772  0.5772  3 Cd 3.26, 3 Tb 3.56, 6 Y 3.63
Y  0.7560  0.7560  0.7560  3 Cd 3.24, 3 Tb 3.56, 6 Y 3.63
Cd  0.1664  0.1664  0.1664  6 Y 3.24-3.26, 6 Cd 3.63

---

Look up the final energy of the third one. -18.8 eV per formula unit